The following is a GGA-PBE calculation of crystalline Ti2CoTc at its relaxed geometry, from Alexandria.

For the total energy, the calculation gives -8.8120 eV/atom. The calculated volume is 14.1 Å³ per atom.

The structure belongs to space group P4/mmm (No. 123); the cell edges are 3.0647, 3.0647 and 6.0005 Å and the angles 90.00°, 90.00° and 90.00°. The asymmetric unit holds Ti at (0.0000, 0.0000, 0.2472), Co at (0.5000, 0.5000, 0.0000) and Tc at (0.5000, 0.5000, 0.5000).